[1]
Nd3CdRu | the Alexandria database | GGA-PBE | optimized geometry; energy of formation from the pure elements = -254 meV/atom; energy above the most stable polymorph in this dataset = 0 meV per atom; calculated total energy = -5.1529 eV/atom; M_tot = 0.00 μB per formula unit
1.0
0.0000 5.1111 8.0878
3.3555 0.0000 8.0878
3.3555 5.1111 0.0000
Nd Cd Ru
6 2 2
Direct
0.1975 0.5823 0.4177
0.1996 0.1996 0.8004
0.4177 0.8025 0.1975
0.5823 0.1975 0.8025
0.8004 0.8004 0.1996
0.8025 0.4177 0.5823
0.2065 0.7935 0.7935
0.7935 0.2065 0.2065
0.2500 0.2500 0.2500
0.7500 0.7500 0.7500

---

[2]
La6Pm4Pr | the Alexandria database | GGA-PBE | optimized geometry; energy of formation from the pure elements = 91 meV/atom; energy above the most stable polymorph in this dataset = 0 meV per atom; calculated total energy = -4.7589 eV/atom; M_tot = 0.00 μB per formula unit
1.0
3.0299 -4.9540 0.0000
3.0299 4.9540 0.0000
0.0000 0.0000 26.4088
La Pm Pr
12 8 2
Direct
0.0000 0.0000 0.0000
0.0000 0.0000 0.5000
0.0621 0.9379 0.7500
0.2935 0.7065 0.1011
0.2935 0.7065 0.3989
0.3869 0.6131 0.6821
0.3869 0.6131 0.8179
0.6131 0.3869 0.1821
0.6131 0.3869 0.3179
0.7065 0.2935 0.6011
0.7065 0.2935 0.8989
0.9379 0.0621 0.2500
0.0548 0.9452 0.6238
0.0548 0.9452 0.8762
0.3528 0.6472 0.5445
0.3528 0.6472 0.9555
0.6472 0.3528 0.0445
0.6472 0.3528 0.4555
0.9452 0.0548 0.1238
0.9452 0.0548 0.3762
0.2807 0.7193 0.2500
0.7193 0.2807 0.7500

---

[3]
ReAg2W | the Alexandria database | GGA-PBE | optimized geometry; energy of formation from the pure elements = 660 meV/atom; energy above the most stable polymorph in this dataset = 303 meV per atom; calculated total energy = -7.1159 eV/atom; M_tot = 0.00 μB per formula unit
1.0
-1.5360 2.1923 4.8985
1.5360 -2.1923 4.8985
1.5360 2.1923 -4.8985
Re Ag W
1 2 1
Direct
0.0000 0.0000 0.0000
0.2474 0.7474 0.5000
0.7526 0.2526 0.5000
0.5000 0.5000 0.0000

---

[4]
Hf4Ti2Sn | the Alexandria database | GGA-PBE | optimized geometry; energy of formation from the pure elements = 1096 meV/atom; energy above the most stable polymorph in this dataset = 1088 meV per atom; calculated total energy = -7.4188 eV/atom; M_tot = 0.92 μB per formula unit
1.0
-2.6375 2.6375 6.5668
2.6375 -2.6375 6.5668
2.6375 2.6375 -6.5668
Hf Ti Sn
4 2 1
Direct
0.0000 0.5000 0.5000
0.2082 0.2082 0.0000
0.5000 0.0000 0.5000
0.7918 0.7918 0.0000
0.4072 0.4072 0.0000
0.5928 0.5928 0.0000
0.0000 0.0000 0.0000

---

[5]
CsPuIn2I6 | the Alexandria database | GGA-PBE | optimized geometry; ΔE_f (raw) = -0.92 eV per atom; calculated total energy = -3.9164 eV/atom; M_tot = 5.00 μB per formula unit
1.0
8.6905 0.0000 0.0000
-4.3425 7.5323 0.0000
-4.3452 -2.5092 7.8439
Cs Pu In I
1 1 2 6
Direct
0.0000 0.0000 0.0000
0.9626 0.4814 0.4437
0.5804 0.2903 0.8703
0.6125 0.8064 0.4187
0.0940 0.4507 0.1880
0.0947 0.2494 0.6616
0.4124 0.8456 0.6614
0.5451 0.0946 0.1879
0.7374 0.6432 0.1879
0.8160 0.5671 0.6613

---

[6]
La3Sm6In | the Alexandria database | GGA-PBE | optimized geometry; energy of formation from the pure elements = 35 meV/atom; calculated total energy = -4.5489 eV/atom; M_tot = 0.00 μB per formula unit
1.0
6.7134 -7.9567 0.0000
6.7134 7.9567 0.0000
0.0000 0.0000 6.4589
La Sm In
6 12 2
Direct
0.1441 0.8559 0.5000
0.2139 0.3887 0.8321
0.3887 0.2139 0.3321
0.6113 0.7861 0.8321
0.7861 0.6113 0.3321
0.8559 0.1441 0.0000
0.0649 0.1727 0.5051
0.0920 0.4781 0.3016
0.1727 0.0649 0.0051
0.2494 0.7506 0.9950
0.4524 0.5476 0.1566
0.4781 0.0920 0.8016
0.5219 0.9080 0.3016
0.5476 0.4524 0.6566
0.7506 0.2494 0.4950
0.8273 0.9351 0.5051
0.9080 0.5219 0.8016
0.9351 0.8273 0.0051
0.3445 0.6555 0.5589
0.6555 0.3445 0.0589

---

[7]
ZrReH | the Alexandria database | GGA-PBE | optimized geometry; energy above the most stable polymorph in this dataset = 1 meV per atom; calculated total energy = -8.3523 eV/atom; M_tot = 0.00 μB per formula unit
1.0
-2.3975 2.3912 3.3888
2.3975 -2.3912 3.3888
2.3975 2.3912 -3.3888
Zr Re H
2 2 2
Direct
0.2436 0.2500 0.4936
0.7564 0.7500 0.5064
0.0233 0.5059 0.0174
0.4884 0.0059 0.9826
0.6867 0.1867 0.5000
0.6867 0.6867 0.0000

---

[8]
Ho8Bi3Te4 | the Alexandria database | GGA-PBE | optimized geometry; ΔE_f (raw) = -0.95 eV per atom; calculated total energy = -5.0011 eV/atom; M_tot = 0.00 μB per formula unit
1.0
6.1333 -6.1410 0.0000
6.1333 6.1410 0.0000
-6.0844 0.0000 6.1501
Ho Bi Te
8 3 4
Direct
0.2393 0.2393 0.0015
0.2423 0.7577 0.0000
0.2459 0.2459 0.4900
0.2501 0.7499 0.5000
0.7499 0.2501 0.5000
0.7541 0.7541 0.5100
0.7577 0.2423 0.0000
0.7607 0.7607 0.9985
0.0000 0.0000 0.5000
0.0000 0.5000 0.0000
0.5000 0.0000 0.0000
0.0000 0.5000 0.5000
0.5000 0.0000 0.5000
0.5000 0.5000 0.0000
0.5000 0.5000 0.5000

---

[9]
Ta2C2F | the Alexandria database | GGA-PBE | optimized geometry; ΔE_f (raw) = -0.08 eV per atom; energy above the most stable polymorph in this dataset = 54 meV per atom; calculated total energy = -8.8874 eV/atom; M_tot = 0.00 μB per formula unit
1.0
6.2551 0.0000 0.0000
0.0000 6.2551 0.0000
0.0000 0.0000 2.8136
Ta C F
4 4 2
Direct
0.1607 0.3393 0.0000
0.3393 0.8393 0.0000
0.6607 0.1607 0.0000
0.8393 0.6607 0.0000
0.1330 0.6330 0.5000
0.3670 0.1330 0.5000
0.6330 0.8670 0.5000
0.8670 0.3670 0.5000
0.0000 0.0000 0.5000
0.5000 0.5000 0.5000

---

[10]
Mg6In2Rh | the Alexandria database | GGA-PBE | optimized geometry; energy of formation from the pure elements = -235 meV/atom; calculated total energy = -2.7238 eV/atom; M_tot = 0.00 μB per formula unit
1.0
8.2193 0.0000 0.0000
-4.1096 7.1181 0.0000
0.0000 0.0000 3.2522
Mg In Rh
6 2 1
Direct
0.0000 0.2592 0.0000
0.0000 0.6456 0.5000
0.2592 0.0000 0.0000
0.3544 0.3544 0.5000
0.6456 0.0000 0.5000
0.7408 0.7408 0.0000
0.3333 0.6667 0.0000
0.6667 0.3333 0.0000
0.0000 0.0000 0.5000

---

[11]
LiCeHgPd | the Alexandria database | GGA-PBE | optimized geometry; energy of formation from the pure elements = -376 meV/atom; calculated total energy = -3.7113 eV/atom; M_tot = 0.77 μB per formula unit
1.0
0.0000 3.5238 3.5238
3.5238 0.0000 3.5238
3.5238 3.5238 0.0000
Li Ce Hg Pd
1 1 1 1
Direct
0.0000 0.0000 0.0000
0.5000 0.5000 0.5000
0.7500 0.7500 0.7500
0.2500 0.2500 0.2500

---

[12]
Be16Nb2Rh | the Alexandria database | GGA-PBE | optimized geometry; energy of formation from the pure elements = -266 meV/atom; calculated total energy = -4.8505 eV/atom; M_tot = 0.00 μB per formula unit
1.0
3.7506 2.1654 3.6248
-3.7506 2.1654 3.6248
0.0000 -4.3308 3.6248
Be Nb Rh
16 2 1
Direct
0.0458 0.0458 0.0458
0.1529 0.1529 0.6584
0.1529 0.6584 0.1529
0.1575 0.4508 0.8631
0.1575 0.8631 0.4508
0.3165 0.8077 0.8077
0.4508 0.1575 0.8631
0.4508 0.8631 0.1575
0.5035 0.5035 0.9929
0.5035 0.9929 0.5035
0.6584 0.1529 0.1529
0.8077 0.3165 0.8077
0.8077 0.8077 0.3165
0.8631 0.1575 0.4508
0.8631 0.4508 0.1575
0.9929 0.5035 0.5035
0.5000 0.5000 0.5000
0.8140 0.8140 0.8140
0.2502 0.2502 0.2502